PBE FeCu2Cl, relaxed; formation energy from raw total energies = 0.119 eV per atom; symmetry = Pm (6); spin magnetization = 3.00 μB per formula unit; energy relative to the lowest polymorph listed for this composition = 0.00 eV per formula unit
1.0
3.130 0.000 0.000
0.000 3.010 0.000
-0.011 0.000 6.482
Fe Cu Cl
1 2 1
Cartesian
0.000 0.000 0.000
0.000 0.000 2.548
1.566 1.505 1.312
3.114 1.505 4.644

=====

PBE FeCu3Cl, relaxed; formation energy from raw total energies = 1.141 eV per atom; symmetry = Pm-3m (221); spin magnetization = 2.93 μB per formula unit; energy relative to the lowest polymorph listed for this composition = 0.68 eV per formula unit
1.0
4.415 0.000 0.000
0.000 4.415 0.000
0.000 0.000 4.415
Fe Cu Cl
1 3 1
Cartesian
0.000 0.000 0.000
0.000 2.207 2.207
2.207 0.000 2.207
2.207 2.207 0.000
2.207 2.207 2.207

=====

PBE FeCuCl6, relaxed; formation energy from raw total energies = -0.448 eV per atom; symmetry = P-1 (2); spin magnetization = 2.98 μB per formula unit; energy relative to the lowest polymorph listed for this composition = 0.22 eV per formula unit
1.0
6.102 0.000 0.000
-3.042 5.293 0.000
-3.044 -1.753 5.362
Fe Cu Cl
1 1 6
Cartesian
0.000 0.000 0.000
-3.043 1.770 2.681
-2.227 -0.038 4.041
-1.077 1.571 1.324
1.887 0.151 1.315
-1.872 3.389 4.047
1.092 1.969 4.038
2.242 3.578 1.321

=====

Q: Number 1 is which compound?
A: FeCu2Cl